Ho4Er3Tm4 (GGA-PBE, optimized geometry); formation energy from the elements = 0.07 eV per atom; N(E_F) = 20.84 states/eV/cell; final energy = -49.2 eV/f.u.; symmetry = P-1
1.0
3.466 0.000 0.000
0.001 5.511 0.000
1.729 2.740 17.504
Ho Er Tm
4 3 4
Direct
0.090 0.090 0.319
0.233 0.733 0.034
0.767 0.267 0.966
0.910 0.910 0.681
0.364 0.363 0.773
0.500 0.000 0.500
0.636 0.637 0.227
0.045 0.545 0.409
0.180 0.180 0.139
0.820 0.820 0.861
0.955 0.455 0.591